(1)
Computed, not measured: a relaxed LaDyCo2 crystal at the GGA-PBE level of DFT.

The energy above the most stable polymorph in this dataset comes out at 0.0 meV per atom. The calculation puts the calculated formation energy at -118 meV/atom.

It has space group Pmc2_1 (No. 26), with a = 3.902 Å, b = 5.736 Å, c = 7.615 Å, α = 90.00°, β = 90.00° and γ = 90.00°. The asymmetric unit holds La at (0.000, 0.129, 0.000), Dy at (0.500, 0.374, 0.642), Co at (0.000, 0.365, 0.355) and Co at (0.500, 0.167, 0.296).

***

(2)
Computed, not measured: a relaxed NaNb6O12 crystal at the GGA-PBE level of DFT.

Its formation energy from raw total energies is -2.157 eV/atom.

It has space group R-3 (No. 148, hexagonal axes), with a = 12.2892 Å, b = 12.2892 Å, c = 6.5604 Å, α = 90.00°, β = 90.00° and γ = 120.00°. The asymmetric unit holds Na at (0.0000, 0.0000, 0.0000), Nb at (0.0471, 0.2041, 0.3845), O at (0.0021, 0.5791, 0.1554) and O at (0.0357, 0.1426, 0.6969).

***

(3)
Computed, not measured: a relaxed Mg2Tl5In crystal at the GGA-PBE level of DFT.

The energy above the most stable polymorph in this dataset comes out at 57.7 meV per atom. The calculation puts the calculated formation energy at 83 meV/atom.

It has space group Cmcm (No. 63), with a = 3.335 Å, b = 22.619 Å, c = 12.347 Å, α = 90.00°, β = 90.00° and γ = 90.00°. The asymmetric unit holds Mg at (0.000, 0.089, 0.127), Tl at (0.000, 0.045, 0.614), Tl at (0.000, 0.209, 0.250), Tl at (0.000, 0.317, 0.012) and In at (0.000, 0.165, 0.750).

***

(4)
Computed, not measured: a relaxed In2SbIr crystal at the GGA-PBE level of DFT.

Its formation energy from raw total energies is 0.092 eV/atom.

It has space group P4/mmm (No. 123), with a = 3.161 Å, b = 3.161 Å, c = 8.778 Å, α = 90.00°, β = 90.00° and γ = 90.00°. The asymmetric unit holds In at (0.000, 0.000, 0.199), Sb at (0.500, 0.500, 0.500) and Ir at (0.500, 0.500, 0.000).

***

(5)
Computed, not measured: a relaxed Nb2VPt9 crystal at the GGA-PBE level of DFT.

The calculation puts the calculated formation energy at -523 meV/atom.

It has space group P4/mmm (No. 123), with a = 3.989 Å, b = 3.989 Å, c = 11.909 Å, α = 90.00°, β = 90.00° and γ = 90.00°. The asymmetric unit holds Nb at (0.000, 0.000, 0.172), V at (0.000, 0.000, 0.500), Pt at (0.000, 0.500, 0.000), Pt at (0.000, 0.500, 0.333), Pt at (0.500, 0.500, 0.166) and Pt at (0.500, 0.500, 0.500).

***

(6)
Computed, not measured: a relaxed PrNdCo2 crystal at the GGA-PBE level of DFT.

The energy above the most stable polymorph in this dataset comes out at 117.8 meV per atom. The calculation puts the calculated formation energy at 76 meV/atom.

It has space group Fm-3m (No. 225), with a = 6.966 Å, b = 6.966 Å, c = 6.966 Å, α = 90.00°, β = 90.00° and γ = 90.00°. The asymmetric unit holds Pr at (0.000, 0.000, 0.000), Nd at (0.000, 0.000, 0.500) and Co at (0.250, 0.250, 0.250).